Record 1
The following is a DFT calculation (PBE) of a geometry-optimized PrInGa structure.

```
PrInGa
1.0
4.867 0.000 0.000
2.433 4.215 0.000
2.433 1.405 3.974
Pr Ga In
1 1 1
Cartesian
4.867 2.810 1.987
2.433 1.405 0.993
0.000 0.000 0.000
```

Computed properties:
**E**: -3.93 eV per atom
**Mass density**: 6.6 Mg/m³
**Calculated formation energy**: -0.42 eV per atom
**SG**: F-43m
**Polymorph energy (0 for the lowest one)**: 0.348 eV per formula unit



Record 2
The following is a DFT calculation (PBE) of a geometry-optimized Dy6RhS5 structure.

```
Dy6RhS5
1.0
-2.207 3.820 5.216
-4.444 -3.729 -3.608
3.115 -4.965 3.458
S Rh Dy
5 1 6
Cartesian
-1.032 0.047 5.437
-2.954 1.300 2.270
-1.768 -2.437 2.533
-3.697 -1.209 -0.662
-2.504 -4.921 -0.370
0.000 0.000 0.000
-0.505 0.049 2.704
-2.292 -2.429 5.277
0.690 -3.704 2.994
-4.226 -1.170 2.072
-1.244 -2.444 -0.211
-3.031 -4.923 2.363
```

Computed properties:
**E**: -6.42 eV per atom
**Mass density**: 7.9 Mg/m³
**SG**: C2/m



Record 3
The following is a DFT calculation (PBE) of a geometry-optimized Cs5K2Rb2 structure.

```
Cs5K2Rb2
1.0
15.691 0.000 0.000
0.000 9.740 0.000
-7.845 -4.870 12.209
Cs K Rb
10 4 4
Cartesian
-3.476 1.306 10.644
11.321 6.176 1.565
-4.370 -3.564 10.644
12.215 1.306 1.565
2.614 -0.523 3.669
5.231 4.347 8.540
5.231 4.347 3.669
2.614 -0.523 8.540
-1.871 7.176 6.104
9.716 2.306 6.104
0.000 8.236 0.000
7.845 3.366 0.000
-0.979 2.227 6.104
8.824 7.097 6.104
0.639 4.209 2.287
7.206 -0.661 9.921
7.206 -0.661 2.287
0.639 4.209 9.921
```

Computed properties:
**E**: -0.90 eV per atom
**Mass density**: 1.6 Mg/m³
**Calculated formation energy**: 0.04 eV per atom
**SG**: Ima2
**Polymorph energy (0 for the lowest one)**: 0.266 eV per formula unit



Record 4
The following is a DFT calculation (PBE) of a geometry-optimized MgScRu3 structure.

```
MgScRu3
1.0
-0.287 -1.252 4.300
4.429 -0.717 0.087
0.663 4.250 1.281
Sc Ru Mg
1 3 1
Cartesian
2.403 1.140 2.834
2.215 -0.359 0.043
0.332 2.125 0.641
-0.143 -0.626 2.150
0.000 0.000 0.000
```

Computed properties:
**E**: -6.03 eV per atom
**Mass density**: 6.8 Mg/m³
**Calculated formation energy**: 1.12 eV per atom
**SG**: Pm-3m
**Polymorph energy (0 for the lowest one)**: 0.000 eV per formula unit



Record 5
The following is a DFT calculation (PBE) of a geometry-optimized BaFe3P structure.

```
BaFe3P
1.0
-0.759 -4.478 1.800
4.446 0.060 2.025
-1.878 1.953 4.066
P Ba Fe
1 1 3
Cartesian
0.904 -1.233 3.945
0.000 0.000 0.000
2.223 0.030 1.012
-0.939 0.976 2.033
-0.380 -2.239 0.900
```

Computed properties:
**E**: -4.07 eV per atom
**Mass density**: 4.8 Mg/m³
**Calculated formation energy**: 2.48 eV per atom
**SG**: Pm-3m
**Polymorph energy (0 for the lowest one)**: 10.919 eV per formula unit



Record 6
The following is a DFT calculation (PBE) of a geometry-optimized MnZnCrNi structure.

```
MnZnCrNi
1.0
4.154 0.000 0.000
2.077 3.598 0.000
2.077 1.199 3.392
Ni Zn Mn Cr
1 1 1 1
Cartesian
0.000 0.000 0.000
2.077 1.199 0.848
6.231 3.598 2.544
4.154 2.398 1.696
```

Computed properties:
**E**: -6.46 eV per atom
**Mass density**: 7.6 Mg/m³
**Calculated formation energy**: 0.00 eV per atom
**SG**: F-43m



Record 7
The following is a DFT calculation (PBE) of a geometry-optimized DyErPu4 structure.

```
DyErPu4
1.0
-4.150 -4.306 -1.426
-1.967 -3.920 4.308
-5.742 0.430 2.156
Er Dy Pu
1 1 4
Cartesian
0.000 0.000 0.000
-2.965 -1.949 1.260
-4.541 -5.088 2.071
-6.428 -2.913 0.995
-7.412 -4.873 3.149
-5.337 -2.720 3.862
```

Computed properties:
**E**: -10.85 eV per atom
**Mass density**: 13.2 Mg/m³
**Calculated formation energy**: 0.23 eV per atom
**SG**: F-43m



Record 8
The following is a DFT calculation (PBE) of a geometry-optimized TcN structure.

```
TcN
1.0
-0.701 2.967 -0.256
-2.694 1.029 1.021
-0.117 1.765 2.496
Tc N
1 1
Cartesian
0.000 0.000 0.000
-1.756 2.880 1.631
```

Computed properties:
**E**: -8.79 eV per atom
**Mass density**: 9.2 Mg/m³
**SG**: Fm-3m
**Polymorph energy (0 for the lowest one)**: 1.111 eV per formula unit



Record 9
The following is a DFT calculation (PBE) of a geometry-optimized AcAl2Zn4Cu structure.

```
AcAl2Zn4Cu
1.0
-3.152 2.660 1.383
-2.529 -1.176 3.338
3.984 4.425 7.412
Ac Al Zn Cu
1 2 4 1
Cartesian
0.000 0.000 0.000
-1.475 4.297 8.899
-0.222 1.612 3.234
0.776 4.041 7.680
-3.305 3.074 7.082
1.607 2.836 5.051
-2.473 1.868 4.453
-0.849 2.955 6.067
```

Computed properties:
**E**: -2.76 eV per atom
**Mass density**: 6.7 Mg/m³
**Calculated formation energy**: -0.16 eV per atom
**SG**: R-3m



Record 10
The following is a DFT calculation (PBE) of a geometry-optimized LaTl4Se structure.

```
LaTl4Se
1.0
-2.135 -4.481 -3.915
-5.329 0.937 -3.270
0.244 0.888 -6.255
La Tl Se
1 4 1
Cartesian
-5.415 -1.992 -10.080
-3.776 -3.240 -6.998
-2.584 -0.550 -8.170
-5.375 -0.526 -6.675
-2.706 -0.995 -5.037
0.000 0.000 0.000
```

Computed properties:
**E**: -3.06 eV per atom
**Mass density**: 9.6 Mg/m³
**SG**: F-43m



Record 11
The following is a DFT calculation (PBE) of a geometry-optimized Ba8IrF2 structure.

```
Ba8IrF2
1.0
-4.211 5.724 -2.468
-2.264 -4.971 -7.125
-7.277 -5.167 0.972
Ir Ba F
1 8 2
Cartesian
0.000 0.000 0.000
-7.570 -1.530 -7.867
-3.369 -2.775 -5.296
-11.122 -4.402 -6.993
-2.630 -0.012 -1.629
-10.382 -1.640 -3.325
-6.181 -2.885 -0.754
-7.348 -5.013 -4.671
-6.403 0.598 -3.950
-9.306 -6.170 -5.911
-4.445 1.755 -2.710
```

Computed properties:
**E**: -3.62 eV per atom
**Mass density**: 4.0 Mg/m³
**SG**: C2/m



Record 12
The following is a DFT calculation (PBE) of a geometry-optimized PuNpHgPb structure.

```
PuNpHgPb
1.0
-0.780 -4.473 -2.868
-1.170 -4.614 2.486
-4.925 -2.099 -0.415
Np Pb Hg Pu
1 1 1 1
Cartesian
-1.719 -2.797 -0.199
0.000 0.000 0.000
-3.438 -5.593 -0.399
-5.156 -8.390 -0.598
```

Computed properties:
**E**: -7.72 eV per atom
**Mass density**: 13.5 Mg/m³
**Calculated formation energy**: 0.10 eV per atom
**SG**: F-43m



Record 13
The following is a DFT calculation (PBE) of a geometry-optimized NdSmZnIn structure.

```
NdSmZnIn
1.0
3.726 0.000 0.000
0.000 3.726 0.000
0.000 0.000 7.675
Nd Sm Zn In
1 1 1 1
Cartesian
0.000 0.000 6.434
0.000 0.000 2.894
1.863 1.863 4.609
1.863 1.863 0.861
```

Computed properties:
**E**: -3.78 eV per atom
**Mass density**: 7.4 Mg/m³
**Calculated formation energy**: -0.41 eV per atom
**SG**: P4mm
**Polymorph energy (0 for the lowest one)**: 0.000 eV per formula unit



Record 14
The following is a DFT calculation (PBE) of a geometry-optimized SiAg4Se structure.

```
SiAg4Se
1.0
0.000 3.902 3.902
3.902 0.000 3.902
3.902 3.902 0.000
Si Ag Se
1 4 1
Cartesian
0.000 0.000 0.000
2.922 4.881 4.881
4.881 4.881 2.922
4.881 2.922 4.881
2.922 2.922 2.922
5.853 5.853 5.853
```

Computed properties:
**E**: -2.99 eV per atom
**Mass density**: 7.5 Mg/m³
**SG**: F-43m



Record 15
The following is a DFT calculation (PBE) of a geometry-optimized GdRh5 structure.

```
GdRh5
1.0
-3.233 -4.035 -0.901
2.748 2.094 -3.951
3.237 -2.768 0.784
Gd Rh
1 5
Cartesian
0.000 0.000 0.000
0.002 -3.402 -0.058
2.992 -0.337 -1.583
-1.239 -1.992 -1.918
1.376 -2.355 -2.034
0.754 0.051 -2.934
```

Computed properties:
**E**: -8.77 eV per atom
**Mass density**: 10.8 Mg/m³
**Calculated formation energy**: -0.30 eV per atom
**SG**: P6/mmm



Record 16
The following is a DFT calculation (PBE) of a geometry-optimized TeRu2 structure.

```
TeRu2
1.0
-1.575 1.906 -5.373
-2.537 -1.835 5.017
-0.057 4.194 1.505
Te Ru
2 4
Cartesian
-2.444 -0.366 4.226
-1.726 4.631 -3.076
-2.123 0.880 0.766
-2.046 3.386 0.383
-1.811 2.093 -2.604
-2.359 2.172 3.753
```

Computed properties:
**E**: -6.89 eV per atom
**Mass density**: 10.7 Mg/m³
**SG**: Cmcm
**Polymorph energy (0 for the lowest one)**: 0.678 eV per formula unit



Record 17
The following is a DFT calculation (PBE) of a geometry-optimized UNiC structure.

```
UNiC
1.0
-3.433 1.209 1.577
1.055 -3.817 0.233
3.277 1.282 6.154
C U Ni
2 2 2
Cartesian
0.133 0.343 5.016
0.766 -1.669 2.948
-0.922 -0.069 3.036
1.820 -1.257 4.928
1.095 0.720 6.822
-0.196 -2.046 1.141
```

Computed properties:
**E**: -8.63 eV per atom
**Mass density**: 10.6 Mg/m³
**Calculated formation energy**: 0.13 eV per atom
**SG**: P-3m1
**Polymorph energy (0 for the lowest one)**: 0.456 eV per formula unit



Record 18
The following is a DFT calculation (PBE) of a geometry-optimized Ho4BI5 structure.

```
Ho4BI5
1.0
4.038 0.000 0.000
0.000 8.614 -0.405
-2.019 -1.627 9.371
Ho B I
4 1 5
Cartesian
0.000 6.842 6.478
0.000 6.942 -0.314
2.019 0.145 2.488
2.019 0.044 9.280
2.019 0.000 0.000
2.019 4.596 6.013
2.019 0.429 6.099
0.000 6.558 2.866
2.019 4.307 -0.203
0.000 2.391 2.953
```

Computed properties:
**E**: -4.34 eV per atom
**Mass density**: 6.7 Mg/m³
**SG**: C2/m
**Polymorph energy (0 for the lowest one)**: 0.000 eV per formula unit



Record 19
The following is a DFT calculation (PBE) of a geometry-optimized LiPa2PdS5 structure.

```
LiPa2PdS5
1.0
3.899 0.000 0.000
-1.950 7.945 0.000
0.000 0.000 10.962
Li Pa Pd S
2 4 2 10
Cartesian
1.950 1.383 10.918
0.000 6.562 5.436
1.950 5.963 8.787
0.000 1.895 7.533
0.000 1.983 3.306
1.950 6.050 2.052
1.950 4.362 4.989
0.000 3.584 10.470
0.000 5.877 0.060
1.950 3.189 9.104
1.950 0.151 8.788
0.000 4.820 7.232
1.950 7.421 6.433
1.950 2.068 5.541
0.000 4.756 3.622
0.000 7.795 3.307
1.950 3.125 1.751
0.000 0.525 0.952
```

Computed properties:
**E**: -6.49 eV per atom
**Mass density**: 7.2 Mg/m³
**SG**: Cmc2_1



Record 20
The following is a DFT calculation (PBE) of a geometry-optimized V2BRh6 structure.

```
V2BRh6
1.0
4.331 -0.327 -0.333
-0.512 5.441 -0.189
-1.934 -2.803 5.815
V B Rh
2 1 6
Cartesian
2.165 2.622 1.659
-0.280 -0.312 3.634
0.000 0.000 0.000
-0.212 1.325 1.754
1.927 -1.754 3.881
2.097 0.985 3.539
1.782 1.092 -0.119
-0.042 4.064 1.412
0.103 1.218 5.412
```

Computed properties:
**E**: -7.83 eV per atom
**Mass density**: 9.4 Mg/m³
**Calculated formation energy**: -0.16 eV per atom
**SG**: P-1



Record 21
The following is a DFT calculation (PBE) of a geometry-optimized ScSnS structure.

```
ScSnS
1.0
-1.149 1.968 -2.742
-4.643 -1.589 0.805
-1.290 6.355 5.101
Sc S Sn
2 2 2
Cartesian
-1.352 4.815 1.704
-2.834 1.729 2.429
-0.496 2.444 1.962
-3.690 4.100 2.171
-2.991 0.659 -0.592
-1.195 5.886 4.725
```

Computed properties:
**E**: -5.87 eV per atom
**Mass density**: 4.4 Mg/m³
**SG**: Pmmn



Record 22
The following is a DFT calculation (PBE) of a geometry-optimized V5Au structure.

```
V5Au
1.0
3.080 0.000 0.000
0.000 4.438 0.000
0.000 -2.219 6.200
Au V
1 5
Cartesian
0.000 0.000 0.000
0.000 2.219 2.035
0.000 0.000 4.165
1.540 2.219 0.000
1.540 0.000 2.249
1.540 2.219 3.950
```

Computed properties:
**E**: -8.16 eV per atom
**Mass density**: 8.8 Mg/m³
**Calculated formation energy**: -0.02 eV per atom
**SG**: Cmmm



Record 23
The following is a DFT calculation (PBE) of a geometry-optimized Tl8InHg6 structure.

```
Tl8InHg6
1.0
7.768 0.354 3.220
2.280 7.434 3.220
0.456 0.354 8.396
Tl In Hg
8 1 6
Cartesian
3.028 4.874 9.619
3.250 6.425 6.476
3.773 1.545 8.784
7.807 6.051 11.026
2.697 2.091 3.809
6.731 6.597 6.051
7.254 1.717 8.359
7.476 3.268 5.217
0.000 0.000 0.000
1.768 3.062 7.022
5.013 7.193 9.290
6.034 3.061 10.835
4.471 5.082 4.000
5.492 0.949 5.546
8.736 5.080 7.814
```

Computed properties:
**E**: -1.53 eV per atom
**Mass density**: 10.6 Mg/m³
**Calculated formation energy**: 0.04 eV per atom
**SG**: R-3
**Polymorph energy (0 for the lowest one)**: 0.352 eV per formula unit



Record 24
The following is a DFT calculation (PBE) of a geometry-optimized InIrAu2 structure.

```
InIrAu2
1.0
-0.164 3.829 3.166
0.200 -1.950 4.569
2.955 -0.766 -3.923
Au In Ir
2 1 1
Cartesian
0.000 0.000 0.000
1.586 -0.888 2.256
0.018 0.940 3.867
1.404 2.001 1.555
```

Computed properties:
**E**: -4.47 eV per atom
**Mass density**: 16.5 Mg/m³
**Calculated formation energy**: 0.07 eV per atom
**SG**: I-4m2



Record 25
The following is a DFT calculation (PBE) of a geometry-optimized TcSbTe2N structure.

```
TcSbTe2N
1.0
5.096 0.000 0.000
0.000 5.096 0.000
0.000 0.000 5.171
Sb Te Tc N
1 2 1 1
Cartesian
0.000 0.000 2.586
0.000 2.548 0.000
2.548 0.000 0.000
0.000 0.000 0.000
2.548 2.548 2.586
```

Computed properties:
**E**: -4.25 eV per atom
**Mass density**: 6.0 Mg/m³
**SG**: P4/mmm
**Polymorph energy (0 for the lowest one)**: 6.558 eV per formula unit